# Sr3In

A relaxed structure of Sr3In (PBE-GGA, Alexandria).

Uncorrected energy: -2.05 eV/atom
DOS at the Fermi energy: 5.60 states/eV per cell
Size of the total moment: 0.119 μB/atom

Geometry as POSCAR:
```
Sr3In
1.0
4.218 0.000 0.000
-2.109 3.653 0.000
0.000 0.000 12.078
In Sr
1 3
Cartesian
0.000 0.000 0.000
0.000 0.000 6.039
2.109 1.218 2.448
2.109 1.218 9.630
```